1.
## Li8Te2O9 (PBE-GGA)

Data for an optimized crystal structure of Li8Te2O9.

a b c (Å): 6.057 9.198 15.612
angles (deg): 87.84 80.80 70.78
Fractional positions:
Li 0.002 0.358 0.448
Li 0.052 0.134 0.957
Li 0.096 0.911 0.630
Li 0.121 0.379 0.237
Li 0.140 0.113 0.740
Li 0.181 0.382 0.039
Li 0.218 0.410 0.857
Li 0.249 0.885 0.450
Li 0.290 0.120 0.545
Li 0.310 0.881 0.259
Li 0.320 0.323 0.681
Li 0.337 0.616 0.953
Li 0.412 0.872 0.027
Li 0.424 0.621 0.759
Li 0.430 0.370 0.480
Li 0.485 0.169 0.143
Li 0.515 0.831 0.857
Li 0.570 0.630 0.520
Li 0.576 0.379 0.241
Li 0.588 0.128 0.973
Li 0.663 0.384 0.047
Li 0.680 0.677 0.319
Li 0.690 0.119 0.741
Li 0.710 0.880 0.455
Li 0.751 0.115 0.550
Li 0.782 0.590 0.143
Li 0.819 0.618 0.961
Li 0.860 0.887 0.260
Li 0.879 0.621 0.763
Li 0.904 0.089 0.370
Li 0.948 0.866 0.043
Li 0.998 0.642 0.552
Te 0.008 0.137 0.142
Te 0.153 0.634 0.370
Te 0.262 0.629 0.144
Te 0.419 0.124 0.350
Te 0.581 0.876 0.650
Te 0.738 0.371 0.856
Te 0.847 0.366 0.630
Te 0.992 0.863 0.858
O 0.017 0.370 0.767
O 0.047 0.858 0.359
O 0.065 0.624 0.056
O 0.108 0.641 0.847
O 0.137 0.853 0.148
O 0.140 0.122 0.431
O 0.148 0.375 0.569
O 0.204 0.877 0.939
O 0.267 0.124 0.247
O 0.276 0.129 0.050
O 0.292 0.350 0.353
O 0.293 0.634 0.473
O 0.298 0.866 0.729
O 0.376 0.404 0.147
O 0.414 0.878 0.553
O 0.463 0.103 0.659
O 0.470 0.636 0.230
O 0.475 0.368 0.946
O 0.525 0.632 0.054
O 0.530 0.364 0.770
O 0.537 0.897 0.341
O 0.586 0.122 0.447
O 0.624 0.596 0.853
O 0.702 0.134 0.271
O 0.707 0.366 0.527
O 0.708 0.650 0.647
O 0.724 0.871 0.950
O 0.733 0.876 0.753
O 0.796 0.123 0.061
O 0.852 0.625 0.431
O 0.860 0.878 0.569
O 0.863 0.147 0.852
O 0.892 0.359 0.153
O 0.935 0.376 0.944
O 0.953 0.142 0.641
O 0.983 0.630 0.233

Values from the calculation:
The volume comes out at 10.67 A^3/atom. For the total magnetization, the calculation gives 0.00 μB per formula unit. Its space group is P-1. Its electronic total energy is -5.203 eV per atom. The uncorrected formation energy comes out at -1.72 eV/atom.


2.
## LiTeO (PBE-GGA)

Data for an optimized crystal structure of LiTeO.

a b c (Å): 6.913 3.013 9.322
angles (deg): 90.00 110.16 90.00
Fractional positions:
Li 0.185 0.000 0.089
Li 0.315 0.500 0.911
Li 0.685 0.500 0.089
Li 0.815 0.000 0.911
Te 0.049 0.500 0.350
Te 0.451 0.000 0.650
Te 0.549 0.000 0.350
Te 0.951 0.500 0.650
O 0.085 0.000 0.861
O 0.415 0.500 0.139
O 0.585 0.500 0.861
O 0.915 0.000 0.139

Values from the calculation:
The volume comes out at 15.19 A^3/atom. For the total magnetization, the calculation gives 0.00 μB per formula unit. Its space group is C2/m. Its electronic total energy is -4.192 eV per atom. The uncorrected formation energy comes out at -0.85 eV/atom.


3.
## Li5Te3O12 (PBE-GGA)

Data for an optimized crystal structure of Li5Te3O12.

a b c (Å): 10.093 10.093 10.093
angles (deg): 109.47 109.47 109.47
Fractional positions:
Li 0.000 0.000 0.000
Li 0.000 0.000 0.500
Li 0.000 0.500 0.000
Li 0.000 0.500 0.500
Li 0.125 0.750 0.875
Li 0.125 0.875 0.250
Li 0.250 0.125 0.875
Li 0.250 0.625 0.375
Li 0.375 0.250 0.625
Li 0.375 0.625 0.750
Li 0.500 0.000 0.000
Li 0.500 0.000 0.500
Li 0.500 0.500 0.000
Li 0.500 0.500 0.500
Li 0.625 0.375 0.250
Li 0.625 0.750 0.375
Li 0.750 0.375 0.625
Li 0.750 0.875 0.125
Li 0.875 0.125 0.750
Li 0.875 0.250 0.125
Te 0.125 0.250 0.375
Te 0.125 0.375 0.750
Te 0.250 0.375 0.125
Te 0.250 0.875 0.625
Te 0.375 0.125 0.250
Te 0.375 0.750 0.125
Te 0.625 0.250 0.875
Te 0.625 0.875 0.750
Te 0.750 0.125 0.375
Te 0.750 0.625 0.875
Te 0.875 0.625 0.250
Te 0.875 0.750 0.625
O 0.047 0.226 0.131
O 0.047 0.320 0.916
O 0.084 0.631 0.404
O 0.084 0.953 0.680
O 0.096 0.726 0.680
O 0.096 0.869 0.416
O 0.131 0.047 0.226
O 0.131 0.584 0.904
O 0.180 0.226 0.596
O 0.180 0.453 0.584
O 0.226 0.131 0.047
O 0.226 0.596 0.180
O 0.274 0.320 0.904
O 0.274 0.453 0.369
O 0.320 0.904 0.274
O 0.320 0.916 0.047
O 0.369 0.274 0.453
O 0.369 0.596 0.916
O 0.404 0.084 0.631
O 0.404 0.820 0.774
O 0.416 0.096 0.869
O 0.416 0.820 0.547
O 0.453 0.369 0.274
O 0.453 0.584 0.180
O 0.547 0.416 0.820
O 0.547 0.631 0.726
O 0.584 0.180 0.453
O 0.584 0.904 0.131
O 0.596 0.180 0.226
O 0.596 0.916 0.369
O 0.631 0.404 0.084
O 0.631 0.726 0.547
O 0.680 0.084 0.953
O 0.680 0.096 0.726
O 0.726 0.547 0.631
O 0.726 0.680 0.096
O 0.774 0.404 0.820
O 0.774 0.869 0.953
O 0.820 0.547 0.416
O 0.820 0.774 0.404
O 0.869 0.416 0.096
O 0.869 0.953 0.774
O 0.904 0.131 0.584
O 0.904 0.274 0.320
O 0.916 0.047 0.320
O 0.916 0.369 0.596
O 0.953 0.680 0.084
O 0.953 0.774 0.869

Values from the calculation:
The volume comes out at 9.89 A^3/atom. For the total magnetization, the calculation gives 1.59 μB per formula unit. Its space group is Ia-3d. Its electronic total energy is -4.863 eV per atom. The uncorrected formation energy comes out at -0.94 eV/atom.


4.
## LiTe2O6 (PBE-GGA)

Data for an optimized crystal structure of LiTe2O6.

a b c (Å): 5.385 5.385 4.876
angles (deg): 90.00 90.00 120.00
Fractional positions:
Li 0.000 0.000 0.000
Te 0.333 0.667 0.500
Te 0.667 0.333 0.500
O 0.000 0.369 0.722
O 0.000 0.631 0.278
O 0.369 0.000 0.722
O 0.369 0.369 0.278
O 0.631 0.000 0.278
O 0.631 0.631 0.722

Values from the calculation:
The volume comes out at 13.61 A^3/atom. For the total magnetization, the calculation gives 0.00 μB per formula unit. Its space group is P-31m. Its electronic total energy is -5.276 eV per atom. The uncorrected formation energy comes out at -1.06 eV/atom.